(1)
Density functional theory data (PBE) for Cs4BiO4 after structural relaxation.

abc: 8.5322 8.5322 6.9110
angles: 90.00 90.00 90.00
Closest atoms and distances in Å follow each position.
Element x y z (fractional)
Cs1 0.0354 0.2500 0.1386  5 O 3.01-3.29
Cs2 0.2500 0.0354 0.6386  5 O 3.01-3.29
Cs3 0.2500 0.4646 0.6386  5 O 3.01-3.29
Cs4 0.4646 0.2500 0.1386  5 O 3.01-3.29
Cs5 0.5354 0.7500 0.8614  5 O 3.01-3.29
Cs6 0.7500 0.5354 0.3614  5 O 3.01-3.29
Cs7 0.7500 0.9646 0.3614  5 O 3.01-3.29
Cs8 0.9646 0.7500 0.8614  5 O 3.01-3.29
Bi1 0.2500 0.7500 0.2500  4 O 2.17
Bi2 0.7500 0.2500 0.7500  4 O 2.17
O1 0.0466 0.7500 0.4385  1 Bi 2.17
O2 0.2500 0.5466 0.0615  1 Bi 2.17
O3 0.2500 0.9534 0.0615  1 Bi 2.17
O4 0.4534 0.7500 0.4385  1 Bi 2.17
O5 0.5466 0.2500 0.5615  1 Bi 2.17
O6 0.7500 0.0466 0.9385  1 Bi 2.17
O7 0.7500 0.4534 0.9385  1 Bi 2.17
O8 0.9534 0.2500 0.5615  1 Bi 2.17

Output
- SG: No. 137
- Excess energy over the best structure of this formula in the dataset: 0 meV/atom



(2)
Density functional theory data (PBE) for CsBiO3 after structural relaxation.

abc: 4.5552 4.5552 4.5552
angles: 90.00 90.00 90.00
Closest atoms and distances in Å follow each position.
Element x y z (fractional)
Cs1 0.0000 0.0000 0.0000  6 O 2.28
Bi1 0.5000 0.5000 0.5000  12 O 3.22
O1 0.0000 0.0000 0.5000  2 Cs 2.28
O2 0.0000 0.5000 0.0000  2 Cs 2.28
O3 0.5000 0.0000 0.0000  2 Cs 2.28

Output
- SG: No. 221



(3)
Density functional theory data (PBE) for CsBiOsO2 after structural relaxation.

abc: 4.3718 4.3718 5.3141
angles: 90.00 90.00 90.00
Closest atoms and distances in Å follow each position.
Element x y z (fractional)
Cs1 0.0000 0.0000 0.0000  4 Os 3.09, 8 O 3.44
Bi1 0.5000 0.5000 0.5000  4 O 2.19
Os1 0.5000 0.5000 0.0000  2 Bi 2.66
O1 0.0000 0.5000 0.5000  2 Bi 2.19
O2 0.5000 0.0000 0.5000  2 Bi 2.19

Output
- SG: No. 123



(4)
Density functional theory data (PBE) for CsBiPO4 after structural relaxation.

abc: 5.3620 5.7832 8.3607
angles: 90.00 96.08 90.00
Closest atoms and distances in Å follow each position.
Element x y z (fractional)
Cs1 0.2130 0.2500 0.1061  7 O 3.13-3.40
Cs2 0.7870 0.7500 0.8939  7 O 3.13-3.40
Bi1 0.1625 0.7500 0.5171  2 O 2.33-2.36
Bi2 0.8375 0.2500 0.4829  2 O 2.33-2.36
P1 0.4285 0.2500 0.6985  4 O 1.55-1.60
P2 0.5715 0.7500 0.3015  4 O 1.55-1.60
O1 0.2773 0.7500 0.2558  1 P 1.58
O2 0.3098 0.0287 0.7616  1 P 1.55
O3 0.3098 0.4713 0.7616  1 P 1.55
O4 0.4034 0.2500 0.5066  1 P 1.60
O5 0.5966 0.7500 0.4934  1 P 1.60
O6 0.6902 0.5287 0.2384  1 P 1.55
O7 0.6902 0.9713 0.2384  1 P 1.55
O8 0.7227 0.2500 0.7442  1 P 1.58

Output
- SG: No. 11



(5)
Density functional theory data (PBE) for CsBiP2O after structural relaxation.

abc: 5.4747 5.4747 4.2883
angles: 90.00 90.00 90.00
Closest atoms and distances in Å follow each position.
Element x y z (fractional)
Cs1 0.0000 0.0000 0.0000  2 O 2.14
Bi1 0.5000 0.5000 0.5000  8 P 3.48, 4 O 3.87
P1 0.0000 0.5000 0.0000  2 Cs 2.74
P2 0.5000 0.0000 0.0000  2 Cs 2.74
O1 0.0000 0.0000 0.5000  2 Cs 2.14

Output
- SG: No. 123



(6)
Density functional theory data (PBE) for CsBiP2O6 after structural relaxation.

abc: 8.4917 8.4917 5.6927
angles: 96.75 96.75 108.92
Closest atoms and distances in Å follow each position.
Element x y z (fractional)
Cs1 0.0745 0.9255 0.7500  4 O 2.88-3.11
Cs2 0.9255 0.0745 0.2500  4 O 2.88-3.11
Bi1 0.3006 0.6994 0.2500  4 O 2.31-2.36
Bi2 0.6994 0.3006 0.7500  4 O 2.31-2.36
P1 0.0845 0.4663 0.6303  3 O 1.53-1.58
P2 0.4663 0.0845 0.1303  3 O 1.53-1.58
P3 0.5337 0.9155 0.8697  3 O 1.53-1.58
P4 0.9155 0.5337 0.3697  3 O 1.53-1.58
O1 0.0374 0.7028 0.3079  1 P 1.58
O2 0.1464 0.6026 0.8565  1 P 1.54
O3 0.2197 0.4418 0.4882  1 P 1.53
O4 0.2972 0.9626 0.1921  1 P 1.58
O5 0.3974 0.8536 0.6435  1 P 1.54
O6 0.4418 0.2197 0.9882  1 P 1.53
O7 0.5582 0.7803 0.0118  1 P 1.53
O8 0.6026 0.1464 0.3565  1 P 1.54
O9 0.7028 0.0374 0.8079  1 P 1.58
O10 0.7803 0.5582 0.5118  1 P 1.53
O11 0.8536 0.3974 0.1435  1 P 1.54
O12 0.9626 0.2972 0.6921  1 P 1.58

Output
- SG: No. 15



(7)
Density functional theory data (PBE) for CsPa2Bi2O7 after structural relaxation.

abc: 12.5506 12.5506 4.5087
angles: 92.71 92.71 20.04
Closest atoms and distances in Å follow each position.
Element x y z (fractional)
Cs1 0.0000 0.0000 0.0000  12 O 3.11-3.28
Pa1 0.4097 0.4097 0.4766  6 O 2.16-2.27
Pa2 0.5903 0.5903 0.5234  6 O 2.16-2.27
Bi1 0.2949 0.2949 0.9603  2 O 2.27-2.44
Bi2 0.7051 0.7051 0.0397  2 O 2.27-2.44
O1 0.0869 0.0869 0.5235  2 Pa 2.19
O2 0.3221 0.3221 0.4477  1 Pa 2.16, 1 Bi 2.27
O3 0.4009 0.4009 0.9732  2 Pa 2.26-2.27
O4 0.5000 0.5000 0.5000  2 Pa 2.23
O5 0.5991 0.5991 0.0268  2 Pa 2.26-2.27
O6 0.6779 0.6779 0.5523  1 Pa 2.16, 1 Bi 2.27
O7 0.9131 0.9131 0.4765  2 Pa 2.19

Output
- SG: No. 12



(8)
Density functional theory data (PBE) for CsPa2BiO8 after structural relaxation.

abc: 5.6668 5.6668 7.9335
angles: 101.35 101.35 76.23
Closest atoms and distances in Å follow each position.
Element x y z (fractional)
Cs1 0.0000 0.0000 0.0000  6 O 2.94-3.20
Pa1 0.4521 0.4521 0.7681  5 O 2.05-2.21
Pa2 0.5479 0.5479 0.2319  5 O 2.05-2.21
Bi1 0.0000 0.0000 0.5000  6 O 2.14-2.17
O1 0.2213 0.7706 0.3115  1 Pa 2.11, 1 Bi 2.17
O2 0.2294 0.7787 0.6885  1 Pa 2.11, 1 Bi 2.17
O3 0.2473 0.2473 0.5794  1 Pa 2.05, 1 Bi 2.14
O4 0.3588 0.3588 0.0010  2 Pa 2.16-2.21
O5 0.6412 0.6412 0.9990  2 Pa 2.16-2.21
O6 0.7527 0.7527 0.4206  1 Pa 2.05, 1 Bi 2.14
O7 0.7706 0.2213 0.3115  1 Pa 2.11, 1 Bi 2.17
O8 0.7787 0.2294 0.6885  1 Pa 2.11, 1 Bi 2.17

Output
- SG: No. 12



(9)
Density functional theory data (PBE) for Cs3PaBi2O8 after structural relaxation.

abc: 6.6885 6.6885 8.6888
angles: 90.00 90.00 120.00
Closest atoms and distances in Å follow each position.
Element x y z (fractional)
Cs1 0.0000 0.0000 0.0000  12 O 3.49-3.89
Cs2 0.3333 0.6667 0.7452  1 O 2.70
Cs3 0.6667 0.3333 0.2548  1 O 2.70
Pa1 0.0000 0.0000 0.5000  6 O 2.18
Bi1 0.3333 0.6667 0.2876  4 O 2.01-2.19
Bi2 0.6667 0.3333 0.7124  4 O 2.01-2.19
O1 0.1496 0.2991 0.3485  1 Pa 2.18, 1 Bi 2.19
O2 0.1496 0.8504 0.3485  1 Pa 2.18, 1 Bi 2.19
O3 0.2991 0.1496 0.6515  1 Pa 2.18, 1 Bi 2.19
O4 0.3333 0.6667 0.0561  1 Bi 2.01
O5 0.6667 0.3333 0.9439  1 Bi 2.01
O6 0.7009 0.8504 0.3485  1 Pa 2.18, 1 Bi 2.19
O7 0.8504 0.1496 0.6515  1 Pa 2.18, 1 Bi 2.19
O8 0.8504 0.7009 0.6515  1 Pa 2.18, 1 Bi 2.19

Output
- SG: No. 164



(10)
Density functional theory data (PBE) for Cs2PaBiO6 after structural relaxation.

abc: 6.2349 6.2349 6.2349
angles: 60.00 60.00 60.00
Closest atoms and distances in Å follow each position.
Element x y z (fractional)
Cs1 0.2500 0.2500 0.2500  12 O 3.12
Cs2 0.7500 0.7500 0.7500  12 O 3.12
Pa1 0.0000 0.0000 0.0000  6 O 2.19
Bi1 0.5000 0.5000 0.5000  6 O 2.22
O1 0.2485 0.2485 0.7515  1 Pa 2.19, 1 Bi 2.22
O2 0.2485 0.7515 0.2485  1 Pa 2.19, 1 Bi 2.22
O3 0.2485 0.7515 0.7515  1 Pa 2.19, 1 Bi 2.22
O4 0.7515 0.2485 0.2485  1 Pa 2.19, 1 Bi 2.22
O5 0.7515 0.2485 0.7515  1 Pa 2.19, 1 Bi 2.22
O6 0.7515 0.7515 0.2485  1 Pa 2.19, 1 Bi 2.22

Output
- SG: No. 225



| no. | E_form (uncorrected) (eV per atom) |
| --- | --- |
| 1 | -1.189 |
| 2 | 0.560 |
| 3 | 0.606 |
| 4 | -1.837 |
| 5 | 1.256 |
| 6 | -1.849 |
| 7 | -2.445 |
| 8 | -2.387 |
| 9 | -1.770 |
| 10 | -2.057 |